# CaGd2Hf | Alexandria via LeMat-Bulk | PBE | relaxed
data_CaGd2Hf
_chemical_formula_sum 'Ca3 Gd6 Hf3'
_cell_length_a 3.3761
_cell_length_b 3.3761
_cell_length_c 37.3253
_cell_angle_alpha 90.00
_cell_angle_beta 90.00
_cell_angle_gamma 120.00
_symmetry_space_group_name_H-M 'R -3 m'
_symmetry_Int_Tables_number 166
_symmetry_space_group_name_Hall '-R 3 2"'
loop_
_atom_site_label
_atom_site_type_symbol
_atom_site_fract_x
_atom_site_fract_y
_atom_site_fract_z
_atom_site_occupancy
Ca1 Ca 0.0000 0.0000 0.0000 1
Gd1 Gd 0.0000 0.0000 0.4177 1
Hf1 Hf 0.0000 0.0000 0.5000 1
# Energy above the lowest structure with this stoichiometry = 0.329 eV per atom
# Total magnetization = 3.95 μB per atom
# Energy of formation from the pure elements = 0.452 eV/atom